Record 1
Entry from Alexandria: FeAsW2 at its PBEsol-relaxed geometry (meta-GGA SCAN).

Structure (CIF):
```
data_FeAsW2
_chemical_formula_sum 'Fe1 As1 W2'
_space_group_name_H-M_alt 'P 1'
_space_group_IT_number 1
_space_group_name_Hall 'P 1'
_cell_length_a 4.3588
_cell_length_b 4.3588
_cell_length_c 2.9528
_cell_angle_alpha 90.00
_cell_angle_beta 90.00
_cell_angle_gamma 90.00
loop_
_atom_site_label
_atom_site_fract_x
_atom_site_fract_y
_atom_site_fract_z
Fe1 0.0000 0.0000 0.0000
As1 0.5000 0.5000 0.0000
W1 0.0000 0.5000 0.5000
W2 0.5000 0.0000 0.5000
```

Properties
Density (g/cm³): 14.75
Formation enthalpy at 0 K (eV per atom): 0.31

***

Record 2
Entry from Alexandria: FeAsW at its PBEsol-relaxed geometry (meta-GGA SCAN).

Structure (CIF):
```
data_FeAsW
_chemical_formula_sum 'Fe1 As1 W1'
_space_group_name_H-M_alt 'P 1'
_space_group_IT_number 1
_space_group_name_Hall 'P 1'
_cell_length_a 2.7960
_cell_length_b 2.7960
_cell_length_c 6.1038
_cell_angle_alpha 90.00
_cell_angle_beta 90.00
_cell_angle_gamma 120.00
loop_
_atom_site_label
_atom_site_fract_x
_atom_site_fract_y
_atom_site_fract_z
Fe1 0.0000 0.0000 0.0000
As1 0.6667 0.3333 0.3038
W1 0.3333 0.6667 0.6754
```

Properties
Density (g/cm³): 12.64
Formation enthalpy at 0 K (eV per atom): 0.36

***

Record 3
Entry from Alexandria: YFe4As at its PBEsol-relaxed geometry (meta-GGA SCAN).

Structure (CIF):
```
data_YFe4As
_chemical_formula_sum 'Y1 Fe4 As1'
_space_group_name_H-M_alt 'P 1'
_space_group_IT_number 1
_space_group_name_Hall 'P 1'
_cell_length_a 4.8773
_cell_length_b 4.8773
_cell_length_c 4.8773
_cell_angle_alpha 60.00
_cell_angle_beta 60.00
_cell_angle_gamma 60.00
loop_
_atom_site_label
_atom_site_fract_x
_atom_site_fract_y
_atom_site_fract_z
Y1 0.0000 0.0000 0.0000
Fe1 0.1268 0.6244 0.6244
Fe2 0.6244 0.1268 0.6244
Fe3 0.6244 0.6244 0.1268
Fe4 0.6244 0.6244 0.6244
As1 0.2500 0.2500 0.2500
```

Properties
Density (g/cm³): 7.84
Formation enthalpy at 0 K (eV per atom): 0.00

***

Record 4
Entry from Alexandria: YFe2As at its PBEsol-relaxed geometry (meta-GGA SCAN).

Structure (CIF):
```
data_YFe2As
_chemical_formula_sum 'Y1 Fe2 As1'
_space_group_name_H-M_alt 'P 1'
_space_group_IT_number 1
_space_group_name_Hall 'P 1'
_cell_length_a 4.7596
_cell_length_b 4.7596
_cell_length_c 4.7596
_cell_angle_alpha 129.24
_cell_angle_beta 129.24
_cell_angle_gamma 74.63
loop_
_atom_site_label
_atom_site_fract_x
_atom_site_fract_y
_atom_site_fract_z
Y1 0.0000 0.0000 0.0000
Fe1 0.2500 0.7500 0.5000
Fe2 0.5000 0.5000 0.0000
As1 0.7500 0.2500 0.5000
```

Properties
Density (g/cm³): 7.26
Formation enthalpy at 0 K (eV per atom): -0.08

***

Record 5
Entry from Alexandria: YFeAs2 at its PBEsol-relaxed geometry (meta-GGA SCAN).

Structure (CIF):
```
data_YFeAs2
_chemical_formula_sum 'Y1 Fe1 As2'
_space_group_name_H-M_alt 'P 1'
_space_group_IT_number 1
_space_group_name_Hall 'P 1'
_cell_length_a 6.6614
_cell_length_b 6.6614
_cell_length_c 6.6614
_cell_angle_alpha 152.72
_cell_angle_beta 148.19
_cell_angle_gamma 42.39
loop_
_atom_site_label
_atom_site_fract_x
_atom_site_fract_y
_atom_site_fract_z
Y1 0.0000 0.0000 0.0000
Fe1 0.7595 0.2595 0.5000
As1 0.3254 0.8254 0.5000
As2 0.6182 0.6182 0.0000
```

Properties
Relative energy among the computed polymorphs (eV per atom): 0.000
Density (g/cm³): 6.87
Formation enthalpy at 0 K (eV per atom): -0.47

***

Record 6
Entry from Alexandria: YFeAs2 at its PBEsol-relaxed geometry (meta-GGA SCAN).

Structure (CIF):
```
data_YFeAs2
_chemical_formula_sum 'Y1 Fe1 As2'
_space_group_name_H-M_alt 'P 1'
_space_group_IT_number 1
_space_group_name_Hall 'P 1'
_cell_length_a 4.6261
_cell_length_b 4.6261
_cell_length_c 4.6261
_cell_angle_alpha 60.00
_cell_angle_beta 60.00
_cell_angle_gamma 60.00
loop_
_atom_site_label
_atom_site_fract_x
_atom_site_fract_y
_atom_site_fract_z
Y1 0.0000 0.0000 0.0000
Fe1 0.5000 0.5000 0.5000
As1 0.2500 0.2500 0.2500
As2 0.7500 0.7500 0.7500
```

Properties
Relative energy among the computed polymorphs (eV per atom): 0.092
Density (g/cm³): 6.99
Formation enthalpy at 0 K (eV per atom): -0.38

***

Record 7
Entry from Alexandria: YFe2As at its PBEsol-relaxed geometry (meta-GGA SCAN).

Structure (CIF):
```
data_YFe2As
_chemical_formula_sum 'Y1 Fe2 As1'
_space_group_name_H-M_alt 'P 1'
_space_group_IT_number 1
_space_group_name_Hall 'P 1'
_cell_length_a 3.2946
_cell_length_b 3.2946
_cell_length_c 5.8787
_cell_angle_alpha 90.00
_cell_angle_beta 90.00
_cell_angle_gamma 90.00
loop_
_atom_site_label
_atom_site_fract_x
_atom_site_fract_y
_atom_site_fract_z
Y1 0.0000 0.0000 0.0000
Fe1 0.5000 0.5000 0.3055
Fe2 0.5000 0.5000 0.6945
As1 0.0000 0.0000 0.5000
```

Properties
Density (g/cm³): 7.17
Formation enthalpy at 0 K (eV per atom): -0.01

***

Record 8
Entry from Alexandria: Y2FeAs at its PBEsol-relaxed geometry (meta-GGA SCAN).

Structure (CIF):
```
data_Y2FeAs
_chemical_formula_sum 'Y2 Fe1 As1'
_space_group_name_H-M_alt 'P 1'
_space_group_IT_number 1
_space_group_name_Hall 'P 1'
_cell_length_a 4.0002
_cell_length_b 4.0002
_cell_length_c 5.6919
_cell_angle_alpha 90.00
_cell_angle_beta 90.00
_cell_angle_gamma 90.00
loop_
_atom_site_label
_atom_site_fract_x
_atom_site_fract_y
_atom_site_fract_z
Y1 0.0000 0.0000 0.0000
Y2 0.5000 0.5000 0.4311
Fe1 0.5000 0.5000 0.9447
As1 0.0000 0.0000 0.5010
```

Properties
Density (g/cm³): 5.63
Formation enthalpy at 0 K (eV per atom): -0.46

***

Record 9
Entry from Alexandria: ZnFeAs2 at its PBEsol-relaxed geometry (meta-GGA SCAN).

Structure (CIF):
```
data_ZnFeAs2
_chemical_formula_sum 'Zn1 Fe1 As2'
_space_group_name_H-M_alt 'P 1'
_space_group_IT_number 1
_space_group_name_Hall 'P 1'
_cell_length_a 4.4493
_cell_length_b 4.4493
_cell_length_c 4.4493
_cell_angle_alpha 124.73
_cell_angle_beta 124.73
_cell_angle_gamma 81.98
loop_
_atom_site_label
_atom_site_fract_x
_atom_site_fract_y
_atom_site_fract_z
Zn1 0.0000 0.0000 0.0000
Fe1 0.5000 0.5000 0.0000
As1 0.2500 0.7500 0.5000
As2 0.7500 0.2500 0.5000
```

Properties
Density (g/cm³): 7.87
Formation enthalpy at 0 K (eV per atom): 0.35

***

Record 10
Entry from Alexandria: ZnFeAs at its PBEsol-relaxed geometry (meta-GGA SCAN).

Structure (CIF):
```
data_ZnFeAs
_chemical_formula_sum 'Zn1 Fe1 As1'
_space_group_name_H-M_alt 'P 1'
_space_group_IT_number 1
_space_group_name_Hall 'P 1'
_cell_length_a 4.0889
_cell_length_b 4.0889
_cell_length_c 4.0889
_cell_angle_alpha 60.00
_cell_angle_beta 60.00
_cell_angle_gamma 60.00
loop_
_atom_site_label
_atom_site_fract_x
_atom_site_fract_y
_atom_site_fract_z
Zn1 0.0000 0.0000 0.0000
Fe1 0.2500 0.2500 0.2500
As1 0.7500 0.7500 0.7500
```

Properties
Density (g/cm³): 6.74
Formation enthalpy at 0 K (eV per atom): 0.40

***

Record 11
Entry from Alexandria: Zn4FeAs at its PBEsol-relaxed geometry (meta-GGA SCAN).

Structure (CIF):
```
data_Zn4FeAs
_chemical_formula_sum 'Zn4 Fe1 As1'
_space_group_name_H-M_alt 'P 1'
_space_group_IT_number 1
_space_group_name_Hall 'P 1'
_cell_length_a 4.9319
_cell_length_b 4.9319
_cell_length_c 4.9319
_cell_angle_alpha 60.00
_cell_angle_beta 60.00
_cell_angle_gamma 60.00
loop_
_atom_site_label
_atom_site_fract_x
_atom_site_fract_y
_atom_site_fract_z
Zn1 0.1241 0.1241 0.1241
Zn2 0.1241 0.1241 0.6277
Zn3 0.1241 0.6277 0.1241
Zn4 0.6277 0.1241 0.1241
Fe1 0.7500 0.7500 0.7500
As1 0.5000 0.5000 0.5000
```

Properties
Density (g/cm³): 7.68
Formation enthalpy at 0 K (eV per atom): 0.26

***

Record 12
Entry from Alexandria: ZnFeAs2 at its PBEsol-relaxed geometry (meta-GGA SCAN).

Structure (CIF):
```
data_ZnFeAs2
_chemical_formula_sum 'Zn1 Fe1 As2'
_space_group_name_H-M_alt 'P 1'
_space_group_IT_number 1
_space_group_name_Hall 'P 1'
_cell_length_a 6.4470
_cell_length_b 6.4470
_cell_length_c 6.4470
_cell_angle_alpha 155.13
_cell_angle_beta 147.25
_cell_angle_gamma 41.55
loop_
_atom_site_label
_atom_site_fract_x
_atom_site_fract_y
_atom_site_fract_z
Zn1 0.0000 0.0000 0.0000
Fe1 0.7814 0.2814 0.5000
As1 0.3425 0.8425 0.5000
As2 0.6231 0.6231 0.0000
```

Properties
Density (g/cm³): 7.40
Formation enthalpy at 0 K (eV per atom): 0.17

***

Record 13
Entry from Alexandria: ZnFe2As at its PBEsol-relaxed geometry (meta-GGA SCAN).

Structure (CIF):
```
data_ZnFe2As
_chemical_formula_sum 'Zn1 Fe2 As1'
_space_group_name_H-M_alt 'P 1'
_space_group_IT_number 1
_space_group_name_Hall 'P 1'
_cell_length_a 3.9997
_cell_length_b 3.9997
_cell_length_c 2.8667
_cell_angle_alpha 90.00
_cell_angle_beta 90.00
_cell_angle_gamma 90.00
loop_
_atom_site_label
_atom_site_fract_x
_atom_site_fract_y
_atom_site_fract_z
Zn1 0.0000 0.0000 0.0000
Fe1 0.0000 0.5000 0.5000
Fe2 0.5000 0.0000 0.5000
As1 0.5000 0.5000 0.0000
```

Properties
Density (g/cm³): 9.13
Formation enthalpy at 0 K (eV per atom): 0.19

***

Record 14
Entry from Alexandria: ZnFeAs2 at its PBEsol-relaxed geometry (meta-GGA SCAN).

Structure (CIF):
```
data_ZnFeAs2
_chemical_formula_sum 'Zn1 Fe1 As2'
_space_group_name_H-M_alt 'P 1'
_space_group_IT_number 1
_space_group_name_Hall 'P 1'
_cell_length_a 4.4402
_cell_length_b 4.4402
_cell_length_c 4.4402
_cell_angle_alpha 60.00
_cell_angle_beta 60.00
_cell_angle_gamma 60.00
loop_
_atom_site_label
_atom_site_fract_x
_atom_site_fract_y
_atom_site_fract_z
Zn1 0.0000 0.0000 0.0000
Fe1 0.2500 0.2500 0.2500
As1 0.5000 0.5000 0.5000
As2 0.7500 0.7500 0.7500
```

Properties
Density (g/cm³): 7.27
Formation enthalpy at 0 K (eV per atom): 0.48

***

Record 15
Entry from Alexandria: ZrFeAs2 at its PBEsol-relaxed geometry (meta-GGA SCAN).

Structure (CIF):
```
data_ZrFeAs2
_chemical_formula_sum 'Zr1 Fe1 As2'
_space_group_name_H-M_alt 'P 1'
_space_group_IT_number 1
_space_group_name_Hall 'P 1'
_cell_length_a 4.4868
_cell_length_b 4.4868
_cell_length_c 4.4868
_cell_angle_alpha 60.00
_cell_angle_beta 60.00
_cell_angle_gamma 60.00
loop_
_atom_site_label
_atom_site_fract_x
_atom_site_fract_y
_atom_site_fract_z
Zr1 0.0000 0.0000 0.0000
Fe1 0.5000 0.5000 0.5000
As1 0.2500 0.2500 0.2500
As2 0.7500 0.7500 0.7500
```

Properties
Density (g/cm³): 7.72
Formation enthalpy at 0 K (eV per atom): -0.35